1.
DFT (PBE-GGA) results for ScSnOF2 after structural relaxation.

Cell lengths 4.2990, 4.2990, 4.0792 Å; angles 90.00, 90.00, 90.00 degrees
Closest atoms and distances in Å follow each position.
Positions (direct):
F: 0.5000 0.0000 0.0000  2 Sc 2.15
F: 0.0000 0.5000 0.0000  2 Sc 2.15
Sn: 0.5000 0.5000 0.5000  8 F 2.96, 4 O 3.04
Sc: 0.0000 0.0000 0.0000  2 O 2.04, 4 F 2.15
O: 0.0000 0.0000 0.5000  2 Sc 2.04

## Properties
The calculation puts the density at 4.79 g/cm3. The value obtained for the energy above the most stable polymorph in this dataset is 0 meV/atom. Its density of states at the Fermi level is 2.57 states/eV/cell. Its uncorrected formation energy is -12.4 eV per formula unit. For the total energy, the calculation gives -6.292 eV per atom. The calculation puts the total magnetization at 0.0 μB per cell.



2.
DFT (PBE-GGA) results for CdRu2Br after structural relaxation.

Cell lengths 3.0008, 3.0008, 9.0641 Å; angles 90.00, 90.00, 121.61 degrees
Closest atoms and distances in Å follow each position.
Positions (direct):
Cd: 0.5000 0.5000 0.7500  4 Ru 2.79, 6 Cd 2.93-3.00
Br: 0.5000 0.5000 0.2500  4 Ru 2.60
Ru: 0.0000 0.0000 0.4876  2 Br 2.60, 2 Cd 2.79
Ru: 0.0000 0.0000 0.0124  2 Br 2.60, 2 Cd 2.79

## Properties
The calculation puts the density at 9.42 g/cm3. The value obtained for the energy above the most stable polymorph in this dataset is 552 meV/atom. Its density of states at the Fermi level is 5.20 states/eV/cell. Its uncorrected formation energy is 3.3 eV per formula unit. For the total energy, the calculation gives -4.453 eV per atom. The calculation puts the total magnetization at 0.0 μB per cell.



3.
DFT (PBE-GGA) results for Cs3NaHg4 after structural relaxation.

Cell lengths 7.3768, 8.6130, 9.7716 Å; angles 128.07, 112.18, 90.00 degrees
Closest atoms and distances in Å follow each position.
Positions (direct):
Hg: 0.7418 0.6748 0.4449  1 Hg 2.98, 1 Na 3.23
Hg: 0.2969 0.3252 0.5551  1 Hg 2.98, 1 Na 3.23
Hg: 0.5635 0.2196 0.0907  2 Hg 2.96-2.98, 1 Na 3.02
Hg: 0.4727 0.7804 0.9093  2 Hg 2.96-2.98, 1 Na 3.02
Cs: 0.2522 0.7801 0.4659  5 Hg 3.77-4.22
Cs: 0.7863 0.2199 0.5341  5 Hg 3.77-4.22
Cs: 0.0183 0.0000 0.0000  6 Hg 3.79-3.97
Na: 0.5192 0.5000 0.0000  4 Hg 3.02-3.23

## Properties
The value obtained for the formation enthalpy at 0 K is -1.42 eV/f.u. The calculation puts the density at 4.74 g/cm3. Its density of states at the Fermi level is 4.99 states/eV/cell. For the total energy, the calculation gives -0.813 eV per atom. The calculation puts the total magnetization at 0.0 μB per cell.



4.
DFT (PBE-GGA) results for BaBe2P after structural relaxation.

Cell lengths 4.1802, 4.1802, 6.4965 Å; angles 67.15, 67.15, 53.06 degrees
Closest atoms and distances in Å follow each position.
Positions (direct):
Be: 0.9165 0.9165 0.1762  1 P 2.13, 3 Be 2.29-2.37
Be: 0.2144 0.2144 0.1954  2 P 2.15, 3 Be 2.29-2.37
P: 0.6027 0.6027 0.3660  3 Be 2.13-2.15
Ba: 0.7663 0.7663 0.7625  6 Be 3.26-3.47, 4 P 3.29-3.56

## Properties
The value obtained for the formation enthalpy at 0 K is -0.38 eV/f.u. The calculation puts the density at 3.78 g/cm3. Its density of states at the Fermi level is 1.47 states/eV/cell. For the total energy, the calculation gives -3.791 eV per atom. The calculation puts the total magnetization at 0.0 μB per cell.



5.
DFT (PBE-GGA) results for YMg2Ag2 after structural relaxation.

Cell lengths 4.1874, 4.1874, 7.0799 Å; angles 72.80, 72.80, 90.00 degrees
Closest atoms and distances in Å follow each position.
Positions (direct):
Mg: 0.7500 0.2500 0.5000  4 Ag 2.80, 4 Mg 2.96
Mg: 0.2500 0.7500 0.5000  4 Ag 2.80, 4 Mg 2.96
Ag: 0.3943 0.3943 0.2113  1 Ag 2.72, 4 Mg 2.80
Ag: 0.6057 0.6057 0.7887  1 Ag 2.72, 4 Mg 2.80
Y: 0.0000 0.0000 0.0000  8 Ag 3.26

## Properties
The value obtained for the formation enthalpy at 0 K is -1.04 eV/f.u. The calculation puts the density at 5.20 g/cm3. The value obtained for the energy above the most stable polymorph in this dataset is 0 meV/atom. Its density of states at the Fermi level is 3.14 states/eV/cell. For the total energy, the calculation gives -3.279 eV per atom. The calculation puts the total magnetization at 0.0 μB per cell.



6.
DFT (PBE-GGA) results for ThMn2GeN after structural relaxation.

Cell lengths 3.6621, 6.0021, 7.3141 Å; angles 90.00, 90.00, 107.76 degrees
Closest atoms and distances in Å follow each position.
Positions (direct):
Mn: 0.1672 0.3344 0.5546  1 N 1.95
Mn: 0.1672 0.3344 0.9454  1 N 1.95
Mn: 0.8328 0.6656 0.4454  1 N 1.95
Mn: 0.8328 0.6656 0.0546  1 N 1.95
N: 0.0000 0.0000 0.0000  2 Mn 1.95
N: 0.0000 0.0000 0.5000  2 Mn 1.95
Ge: 0.2611 0.5222 0.2500  6 Mn 2.46-2.47
Ge: 0.7389 0.4778 0.7500  6 Mn 2.46-2.47
Th: 0.5331 0.0663 0.2500  4 N 2.62
Th: 0.4669 0.9337 0.7500  4 N 2.62

## Properties
The calculation puts the density at 9.30 g/cm3. Its density of states at the Fermi level is 7.13 states/eV/cell. Its uncorrected formation energy is -3.5 eV per formula unit. For the total energy, the calculation gives -8.436 eV per atom. The calculation puts the total magnetization at 9.8 μB per cell.



7.
DFT (PBE-GGA) results for TmHgPdAu after structural relaxation.

Cell lengths 4.8358, 4.8358, 4.8358 Å; angles 60.00, 60.00, 60.00 degrees
Closest atoms and distances in Å follow each position.
Positions (direct):
Tm: 0.7500 0.7500 0.7500  4 Pd 2.96, 4 Au 2.96
Au: 0.0000 0.0000 0.0000  4 Hg 2.96, 4 Tm 2.96
Pd: 0.5000 0.5000 0.5000  4 Hg 2.96, 4 Tm 2.96
Hg: 0.2500 0.2500 0.2500  4 Au 2.96, 4 Pd 2.96

## Properties
The value obtained for the formation enthalpy at 0 K is -2.51 eV/f.u. The calculation puts the density at 13.97 g/cm3. Its density of states at the Fermi level is 1.80 states/eV/cell. For the total energy, the calculation gives -3.938 eV per atom. The calculation puts the total magnetization at 0.0 μB per cell.



8.
DFT (PBE-GGA) results for Gd2ErGa after structural relaxation.

Cell lengths 3.4815, 3.4815, 11.8894 Å; angles 81.58, 81.58, 60.00 degrees
Closest atoms and distances in Å follow each position.
Positions (direct):
Gd: 0.0860 0.0860 0.7420  1 Ga 3.02
Gd: 0.9140 0.9140 0.2580  1 Ga 3.02
Er: 0.5000 0.5000 0.5000  6 Gd 3.48, 6 Er 3.48
Ga: 0.0000 0.0000 0.0000  2 Gd 3.02

## Properties
The value obtained for the formation enthalpy at 0 K is 0.58 eV/f.u. The calculation puts the density at 7.44 g/cm3. The value obtained for the energy above the most stable polymorph in this dataset is 407 meV/atom. Its density of states at the Fermi level is 3.74 states/eV/cell. For the total energy, the calculation gives -8.793 eV per atom. The calculation puts the total magnetization at 14.8 μB per cell.